(1)
Here is an optimized crystal structure of MgInOs2 from Alexandria. Energies are from PBE.

The structure in extended XYZ format:
```
4
Lattice="2.8721 0.0000 0.0000 0.0000 2.9040 0.2500 0.0000 3.6316 8.8407" Properties=species:S:1:pos:R:3 pbc="T T T"
Os 1.4360 1.4771 1.9537
Os 0.0000 0.1631 0.2234
In 0.0000 2.7480 4.2127
Mg 1.4360 5.4152 7.2462
```

Values from the calculation:
- Uncorrected energy: -6.59 eV per atom
- Space-group type: No. 38
- Size of the total moment: 0.00 μB/f.u.
- Energy relative to the elements: 112.0 meV/atom



(2)
Here is an optimized crystal structure of Mg2InOs from Alexandria. Energies are from PBE.

The structure in extended XYZ format:
```
4
Lattice="-3.7150 8.0653 3.2401 -6.0469 6.1872 3.8081 -3.7649 6.4329 5.8131" Properties=species:S:1:pos:R:3 pbc="T T T"
Mg -13.4231 20.5267 12.7626
Mg -6.8672 10.5014 6.5293
In -10.1451 15.5140 9.6459
Os -3.3817 5.1713 3.2153
```

Values from the calculation:
- Uncorrected energy: -4.05 eV per atom
- Space-group type: No. 166
- Size of the total moment: 0.00 μB/f.u.
- Energy relative to the elements: 243.4 meV/atom



(3)
Here is an optimized crystal structure of Mg2InOs from Alexandria. Energies are from PBE.

The structure in extended XYZ format:
```
8
Lattice="-2.4590 3.0156 -1.0553 -3.0509 -1.8210 1.9053 -0.4490 5.3639 8.6728" Properties=species:S:1:pos:R:3 pbc="T T T"
Os 0.0000 0.0000 0.0000
Os -2.8314 4.4884 4.0213
Mg -2.0896 3.0706 1.7214
Mg -2.2673 0.5073 3.2525
Mg -5.2312 5.0245 7.2942
Mg -2.3296 4.5147 6.7776
In -2.7549 0.5973 0.4250
In -3.1274 2.0701 5.5016
```

Values from the calculation:
- Uncorrected energy: -3.73 eV per atom
- Space-group type: No. 122
- Size of the total moment: 0.71 μB/f.u.
- Energy relative to the elements: 555.3 meV/atom



(4)
Here is an optimized crystal structure of MgInOs2 from Alexandria. Energies are from PBE.

The structure in extended XYZ format:
```
4
Lattice="-2.5827 -0.4876 1.9908 -0.2592 -3.0991 -1.0954 3.6979 -1.8453 4.3455" Properties=species:S:1:pos:R:3 pbc="T T T"
Os 1.9392 -0.9677 2.2789
Os 3.6075 -1.8002 4.2393
In -0.4965 -2.2547 1.5340
Mg 1.3524 -3.1773 3.7068
```

Values from the calculation:
- Uncorrected energy: -6.14 eV per atom
- Space-group type: No. 123
- Size of the total moment: 0.00 μB/f.u.
- Energy relative to the elements: 555.7 meV/atom



(5)
Here is an optimized crystal structure of MgInOs2 from Alexandria. Energies are from PBE.

The structure in extended XYZ format:
```
8
Lattice="7.4430 0.0000 0.0000 0.0000 7.4430 0.0000 3.7215 3.7215 2.6250" Properties=species:S:1:pos:R:3 pbc="T T T"
Os 1.8465 5.5822 0.6563
Os 9.3037 9.3179 1.9688
Os 5.5964 1.8607 0.6563
Os 5.5822 5.5680 1.9688
Mg 3.7215 7.4430 1.3125
Mg 3.7215 3.7215 0.0000
In 7.4430 3.7215 1.3125
In 0.0000 0.0000 0.0000
```

Values from the calculation:
- Uncorrected energy: -5.68 eV per atom
- Space-group type: No. 122
- Size of the total moment: 0.00 μB/f.u.
- Energy relative to the elements: 1023.0 meV/atom



(6)
Here is an optimized crystal structure of MgInOs4 from Alexandria. Energies are from PBE.

The structure in extended XYZ format:
```
6
Lattice="-4.6410 0.8879 2.2531 -1.4455 4.8920 1.1762 -3.8258 2.3232 -2.7147" Properties=species:S:1:pos:R:3 pbc="T T T"
Os -4.4393 5.4861 0.8565
Os -6.0388 3.4820 1.3956
Os -3.7158 3.0376 0.2678
Os -5.6308 4.2004 -1.0910
Mg 0.0000 0.0000 0.0000
In -7.4343 6.0773 0.5359
```

Values from the calculation:
- Uncorrected energy: -7.74 eV per atom
- Space-group type: No. 216
- Size of the total moment: 0.00 μB/f.u.
- Energy relative to the elements: 468.9 meV/atom



(7)
Here is an optimized crystal structure of Mg3InOs from Alexandria. Energies are from PBE.

The structure in extended XYZ format:
```
5
Lattice="-0.3822 5.0070 -0.2218 -3.8481 -0.4357 -3.2043 -3.2111 -0.0738 3.8663" Properties=species:S:1:pos:R:3 pbc="T T T"
Os 0.0000 0.0000 0.0000
Mg -1.9240 -0.2179 -1.6021
Mg -1.6056 -0.0369 1.9332
Mg -0.1911 2.5035 -0.1109
In -3.7207 2.2487 0.2201
```

Values from the calculation:
- Uncorrected energy: -3.27 eV per atom
- Polymorph energy (0 for the lowest one): 0.00 eV/f.u.
- Space-group type: No. 221
- Size of the total moment: 0.00 μB/f.u.
- Energy relative to the elements: 480.6 meV/atom



(8)
Here is an optimized crystal structure of Mg2InOs from Alexandria. Energies are from PBE.

The structure in extended XYZ format:
```
4
Lattice="9.8794 0.0383 0.0225 9.4001 3.0401 0.0225 9.4001 1.5009 2.6439" Properties=species:S:1:pos:R:3 pbc="T T T"
Mg 28.6631 4.5766 2.6872
Mg 6.8847 1.0993 0.6455
Os 14.3793 2.2960 1.3481
In 21.7721 3.4764 2.0412
```

Values from the calculation:
- Uncorrected energy: -3.97 eV per atom
- Space-group type: No. 160
- Size of the total moment: 0.00 μB/f.u.
- Energy relative to the elements: 319.6 meV/atom



(9)
Here is an optimized crystal structure of MgInOs2 from Alexandria. Energies are from PBE.

The structure in extended XYZ format:
```
4
Lattice="4.5306 0.0000 0.0000 0.0000 2.8526 0.0157 0.0000 0.2103 5.1984" Properties=species:S:1:pos:R:3 pbc="T T T"
Mg 2.2653 2.2971 3.9106
Os 0.0000 0.2489 5.0168
Os 0.0000 1.4928 2.7886
In 2.2653 0.7657 1.3035
```

Values from the calculation:
- Uncorrected energy: -6.25 eV per atom
- Space-group type: No. 10
- Size of the total moment: 0.00 μB/f.u.
- Energy relative to the elements: 447.5 meV/atom



(10)
Here is an optimized crystal structure of MgInOs2 from Alexandria. Energies are from PBE.

The structure in extended XYZ format:
```
4
Lattice="-1.7071 0.6851 -2.4410 2.9449 -2.4695 -2.7527 -2.4841 -3.7314 0.6899" Properties=species:S:1:pos:R:3 pbc="T T T"
Os 0.0000 0.0000 0.0000
Os 0.6189 -0.8922 -2.5968
In -2.0956 -1.5231 -0.8755
Mg 0.2304 -3.1005 -1.0314
```

Values from the calculation:
- Uncorrected energy: -6.21 eV per atom
- Space-group type: No. 47
- Size of the total moment: 0.58 μB/f.u.
- Energy relative to the elements: 490.1 meV/atom



(11)
Here is an optimized crystal structure of Mg2InOs from Alexandria. Energies are from PBE.

The structure in extended XYZ format:
```
4
Lattice="5.1679 0.0405 -0.0817 -1.9683 4.7786 -0.0817 0.0546 0.0822 2.9124" Properties=species:S:1:pos:R:3 pbc="T T T"
In -0.9569 2.4304 1.4153
Mg 0.0000 0.0000 0.0000
Mg 1.5998 2.4095 -0.0817
Os 2.6113 0.0613 1.4153
```

Values from the calculation:
- Uncorrected energy: -4.04 eV per atom
- Space-group type: No. 12
- Size of the total moment: 0.00 μB/f.u.
- Energy relative to the elements: 249.3 meV/atom



(12)
Here is an optimized crystal structure of MgInOs2 from Alexandria. Energies are from PBE.

The structure in extended XYZ format:
```
4
Lattice="4.7617 0.0204 0.0000 1.0754 4.6387 0.0000 -2.9186 -2.3296 2.9545" Properties=species:S:1:pos:R:3 pbc="T T T"
Mg 2.3808 0.0102 1.4773
In 2.9186 2.3296 0.0000
Os 0.0000 0.0000 0.0000
Os 0.5377 2.3194 1.4773
```

Values from the calculation:
- Uncorrected energy: -6.25 eV per atom
- Space-group type: No. 119
- Size of the total moment: 0.00 μB/f.u.
- Energy relative to the elements: 443.4 meV/atom



(13)
Here is an optimized crystal structure of MgInOs from Alexandria. Energies are from PBE.

The structure in extended XYZ format:
```
3
Lattice="7.3138 0.0000 0.0000 6.5127 2.8181 0.0174 0.8011 -0.9008 2.6704" Properties=species:S:1:pos:R:3 pbc="T T T"
Mg 4.9663 0.2884 1.8220
Os 9.5367 1.5933 0.8911
In 0.9257 -0.8652 2.6450
```

Values from the calculation:
- Uncorrected energy: -4.75 eV per atom
- Polymorph energy (0 for the lowest one): 0.59 eV/f.u.
- Space-group type: No. 42
- Size of the total moment: 0.00 μB/f.u.
- Energy relative to the elements: 441.1 meV/atom



(14)
Here is an optimized crystal structure of MgInOs from Alexandria. Energies are from PBE.

The structure in extended XYZ format:
```
3
Lattice="4.6076 0.0000 0.0000 -2.3038 3.9903 0.0000 0.0000 0.0000 2.8518" Properties=species:S:1:pos:R:3 pbc="T T T"
In 0.0000 0.0000 2.8459
Os 2.3038 1.3301 1.8896
Mg 0.0000 2.6602 0.9680
```

Values from the calculation:
- Uncorrected energy: -4.88 eV per atom
- Polymorph energy (0 for the lowest one): 0.19 eV/f.u.
- Space-group type: No. 156
- Size of the total moment: 0.00 μB/f.u.
- Energy relative to the elements: 308.9 meV/atom



(15)
Here is an optimized crystal structure of MgInOs2 from Alexandria. Energies are from PBE.

The structure in extended XYZ format:
```
4
Lattice="-1.2500 4.3621 1.9731 -1.9152 -3.8805 2.3994 2.3816 -0.1025 1.7353" Properties=species:S:1:pos:R:3 pbc="T T T"
Mg 0.2332 -1.9915 2.0673
Os -1.5826 0.2408 2.1862
Os 0.0000 0.0000 0.0000
In 0.5658 2.1298 1.8542
```

Values from the calculation:
- Uncorrected energy: -6.17 eV per atom
- Space-group type: No. 65
- Size of the total moment: 0.00 μB/f.u.
- Energy relative to the elements: 525.6 meV/atom



(16)
Here is an optimized crystal structure of MgInOs from Alexandria. Energies are from PBE.

The structure in extended XYZ format:
```
3
Lattice="-1.3707 3.4609 2.4901 -1.8789 -0.7247 4.0002 2.2111 1.0814 3.7415" Properties=species:S:1:pos:R:3 pbc="T T T"
In 0.0000 0.0000 0.0000
Mg -0.5192 1.9088 5.1159
Os -0.7789 2.8632 7.6739
```

Values from the calculation:
- Uncorrected energy: -4.69 eV per atom
- Polymorph energy (0 for the lowest one): 0.75 eV/f.u.
- Space-group type: No. 216
- Size of the total moment: 0.00 μB/f.u.
- Energy relative to the elements: 495.2 meV/atom



(17)
Here is an optimized crystal structure of MgInOs from Alexandria. Energies are from PBE.

The structure in extended XYZ format:
```
3
Lattice="-1.1265 -3.2709 -3.7148 -2.1389 -4.4725 1.0909 -0.3316 5.0591 0.2525" Properties=species:S:1:pos:R:3 pbc="T T T"
Mg -1.0563 -2.5049 -0.8488
Os -2.1906 -5.1947 -1.7603
In -0.0185 -0.0438 -0.0148
```

Values from the calculation:
- Uncorrected energy: -4.90 eV per atom
- Polymorph energy (0 for the lowest one): 0.12 eV/f.u.
- Space-group type: No. 44
- Size of the total moment: 0.00 μB/f.u.
- Energy relative to the elements: 286.7 meV/atom



(18)
Here is an optimized crystal structure of Mg2InOs from Alexandria. Energies are from PBE.

The structure in extended XYZ format:
```
4
Lattice="4.8285 0.0000 0.0000 0.0000 2.8664 -0.0152 0.0000 0.0298 5.2240" Properties=species:S:1:pos:R:3 pbc="T T T"
Os 0.0000 1.8057 2.4115
Mg 0.0000 0.3862 5.0808
Mg 2.4142 0.3685 1.5339
In 2.4142 1.8135 4.0110
```

Values from the calculation:
- Uncorrected energy: -4.10 eV per atom
- Space-group type: No. 25
- Size of the total moment: 0.01 μB/f.u.
- Energy relative to the elements: 188.4 meV/atom



(19)
Here is an optimized crystal structure of MgInOs2 from Alexandria. Energies are from PBE.

The structure in extended XYZ format:
```
4
Lattice="-0.3194 0.3721 4.1102 -3.9479 -0.5073 -0.2609 0.4802 -3.9402 0.3940" Properties=species:S:1:pos:R:3 pbc="T T T"
Mg 0.0804 -1.7841 2.2521
Os -1.7338 -2.2237 0.0666
Os 0.0000 0.0000 0.0000
In -2.1336 -0.0676 1.9247
```

Values from the calculation:
- Uncorrected energy: -6.19 eV per atom
- Space-group type: No. 123
- Size of the total moment: 1.32 μB/f.u.
- Energy relative to the elements: 504.6 meV/atom



(20)
Here is an optimized crystal structure of Mg2InOs from Alexandria. Energies are from PBE.

The structure in extended XYZ format:
```
4
Lattice="4.6565 0.0000 0.0000 2.3282 4.0326 0.0000 2.3282 1.3442 3.8020" Properties=species:S:1:pos:R:3 pbc="T T T"
Mg 6.9847 4.0326 2.8515
Mg 0.0000 0.0000 0.0000
In 4.6565 2.6884 1.9010
Os 2.3282 1.3442 0.9505
```

Values from the calculation:
- Uncorrected energy: -4.14 eV per atom
- Space-group type: No. 216
- Size of the total moment: 0.00 μB/f.u.
- Energy relative to the elements: 151.1 meV/atom